(1)
Below is a geometry-optimized Pr3B2TeRh9 structure, with properties calculated at the PBE level.

Lattice parameters (Å, degrees): 5.9643 5.9643 8.6530 90.00 90.00 120.00
Space group P-3m1 (No. 164)
Inequivalent atoms, fractional coordinates:
1 Pr 0.0000 0.0000 0.0000 x1
2 Pr 0.3333 0.6667 0.6597 x2
3 B 0.3333 0.6667 0.1435 x2
4 Te 0.0000 0.0000 0.5000 x1
5 Rh 0.0000 0.5000 0.0000 x3
6 Rh 0.1665 0.3329 0.2762 x6

Computed properties:
E: -7.031 eV per atom
formation energy without anion corrections: -0.5645 eV/atom

=====

(2)
Below is a geometry-optimized ReAs2P structure, with properties calculated at the PBE level.

Lattice parameters (Å, degrees): 7.8403 3.1666 6.3825 90.00 99.21 90.00
Space group Cm (No. 8)
Inequivalent atoms, fractional coordinates:
1 Re 0.0000 0.0000 0.0000 x2
2 As 0.2248 0.5000 0.2520 x2
3 As 0.4566 0.0000 0.6594 x2
4 P 0.2755 0.0000 0.9038 x2

Computed properties:
E: -6.696 eV per atom

=====

(3)
Below is a geometry-optimized ScSnSbO6 structure, with properties calculated at the PBE level.

Lattice parameters (Å, degrees): 5.2885 5.2885 8.9860 90.00 90.00 120.00
Space group P-31c (No. 163)
Inequivalent atoms, fractional coordinates:
1 Sc 0.3333 0.6667 0.2500 x2
2 Sn 0.0000 0.0000 0.0000 x2
3 Sb 0.3333 0.6667 0.7500 x2
4 O 0.0139 0.3444 0.6288 x12

Computed properties:
E: -6.912 eV per atom
formation energy without anion corrections: -1.9998 eV/atom

=====

(4)
Below is a geometry-optimized FePtI2 structure, with properties calculated at the PBE level.

Lattice parameters (Å, degrees): 6.8701 6.8701 6.8701 90.00 90.00 90.00
Space group Fm-3m (No. 225)
Inequivalent atoms, fractional coordinates:
1 Fe 0.0000 0.0000 0.0000 x4
2 Pt 0.0000 0.0000 0.5000 x4
3 I 0.2500 0.2500 0.2500 x8

Computed properties:
E: -3.328 eV per atom
formation energy without anion corrections: 1.0733 eV/atom
energy relative to the lowest polymorph listed for this composition: 668 meV per atom

=====

(5)
Below is a geometry-optimized Cs3SnRu structure, with properties calculated at the PBE level.

Lattice parameters (Å, degrees): 5.9436 5.9436 5.9436 90.00 90.00 90.00
Space group Pm-3m (No. 221)
Inequivalent atoms, fractional coordinates:
1 Cs 0.0000 0.0000 0.5000 x3
2 Sn 0.5000 0.5000 0.5000 x1
3 Ru 0.0000 0.0000 0.0000 x1

Computed properties:
E: -2.261 eV per atom
energy relative to the lowest polymorph listed for this composition: 0 meV per atom

=====

(6)
Below is a geometry-optimized Ca4Ce3VN8 structure, with properties calculated at the PBE level.

Lattice parameters (Å, degrees): 6.9143 6.9143 16.9456 90.00 90.00 120.00
Space group R-3m (No. 166, hexagonal axes)
Inequivalent atoms, fractional coordinates:
1 Ca 0.0000 0.0000 0.0000 x3
2 Ca 0.0000 0.5000 0.0000 x9
3 Ce 0.0000 0.5000 0.5000 x9
4 V 0.0000 0.0000 0.5000 x3
5 N 0.0000 0.0000 0.2418 x6
6 N 0.0232 0.5116 0.2380 x18

Computed properties:
E: -7.491 eV per atom
formation energy without anion corrections: -1.1456 eV/atom

=====

(7)
Below is a geometry-optimized Pm5Dy2Ho structure, with properties calculated at the PBE level.

Lattice parameters (Å, degrees): 7.2147 14.4345 5.0968 90.00 90.00 90.00
Space group Pbam (No. 55)
Inequivalent atoms, fractional coordinates:
1 Pm 0.0000 0.0000 0.0000 x2
2 Pm 0.0000 0.2511 0.0000 x4
3 Pm 0.2493 0.3758 0.5000 x4
4 Dy 0.2504 0.1242 0.5000 x4
5 Ho 0.0000 0.5000 0.0000 x2

Computed properties:
E: -4.676 eV per atom
energy relative to the lowest polymorph listed for this composition: 0 meV per atom

=====

(8)
Below is a geometry-optimized PaAgCO5 structure, with properties calculated at the PBE level.

Lattice parameters (Å, degrees): 7.2992 8.5272 7.8851 90.00 115.25 90.00
Space group C2/c (No. 15)
Inequivalent atoms, fractional coordinates:
1 Pa 0.2500 0.2500 0.0000 x4
2 Ag 0.0000 0.0875 0.2500 x4
3 C 0.0000 0.4277 0.2500 x4
4 O 0.0000 0.1657 0.7500 x4
5 O 0.0541 0.3278 0.1351 x8
6 O 0.1648 0.4784 0.8600 x8

Computed properties:
E: -7.717 eV per atom
formation energy without anion corrections: -1.9213 eV/atom

=====

(9)
Below is a geometry-optimized LaTa2TeN structure, with properties calculated at the PBE level.

Lattice parameters (Å, degrees): 5.1552 5.1552 5.9769 90.00 90.00 90.00
Space group P4/mmm (No. 123)
Inequivalent atoms, fractional coordinates:
1 La 0.0000 0.0000 0.0000 x1
2 Ta 0.0000 0.5000 0.0000 x2
3 Te 0.0000 0.0000 0.5000 x1
4 N 0.5000 0.5000 0.5000 x1

Computed properties:
E: -5.021 eV per atom
formation energy without anion corrections: 2.9992 eV/atom

=====

(10)
Below is a geometry-optimized CeTcGe3 structure, with properties calculated at the PBE level.

Lattice parameters (Å, degrees): 4.3926 4.3926 10.4276 90.00 90.00 90.00
Space group I4mm (No. 107)
Inequivalent atoms, fractional coordinates:
1 Ce 0.0000 0.0000 0.0000 x2
2 Tc 0.0000 0.0000 0.6687 x2
3 Ge 0.0000 0.0000 0.4406 x2
4 Ge 0.0000 0.5000 0.2721 x4

Computed properties:
E: -6.471 eV per atom
energy relative to the lowest polymorph listed for this composition: 22 meV per atom

=====

(11)
Below is a geometry-optimized CrFeMo2 structure, with properties calculated at the PBE level.

Lattice parameters (Å, degrees): 2.6089 4.2201 5.1197 90.00 100.22 90.00
Space group P2/m (No. 10)
Inequivalent atoms, fractional coordinates:
1 Cr 0.0000 0.0000 0.0000 x1
2 Fe 0.5000 0.0000 0.5000 x1
3 Mo 0.2419 0.5000 0.7515 x2

Computed properties:
E: -9.795 eV per atom
energy relative to the lowest polymorph listed for this composition: 42 meV per atom

=====

(12)
Below is a geometry-optimized PmY3Tm3 structure, with properties calculated at the PBE level.

Lattice parameters (Å, degrees): 9.5643 9.5643 5.6436 90.00 90.00 120.00
Space group P6_3/m (No. 176)
Inequivalent atoms, fractional coordinates:
1 Pm 0.3333 0.6667 0.2500 x2
2 Y 0.0961 0.4746 0.7500 x6
3 Tm 0.0482 0.2341 0.2500 x6

Computed properties:
E: -5.356 eV per atom
energy relative to the lowest polymorph listed for this composition: 0 meV per atom